A relaxed Cs2BiHBr6 crystal. Source: Alexandria, functional PBE.

Cell lengths 7.4629, 7.4629, 8.1923 Å; angles 62.90, 62.90, 90.00 degrees
Closest atoms and distances in Å follow each position.
Positions (direct):
Cs 0.7500 0.2500 0.5000  12 Br 3.74-4.10
Cs 0.2500 0.7500 0.5000  12 Br 3.74-4.10
H 0.5000 0.5000 0.0000  4 Br 2.40
Bi 0.0000 0.0000 0.0000  6 Br 2.86-2.88
Br 0.2280 0.2280 0.5440  1 Bi 2.86
Br 0.7720 0.7720 0.4560  1 Bi 2.86
Br 0.2730 0.2730 0.0000  1 H 2.40
Br 0.7270 0.7270 0.0000  1 H 2.40
Br 0.7270 0.2730 0.0000  1 H 2.40
Br 0.2730 0.7270 0.0000  1 H 2.40

## Properties
* N(E_F): 0.000 states/eV per atom
* magnetic moment: 0.0 μB per formula unit
* energy: -2.77 eV/atom

A relaxed Zr2Zn3Ag2 crystal. Source: Alexandria, functional PBE.

Cell lengths 3.4018, 7.6040, 10.0925 Å; angles 90.00, 99.70, 90.00 degrees
Closest atoms and distances in Å follow each position.
Positions (direct):
Zr 0.1453 0.2500 0.2907  6 Zn 2.79-2.83, 4 Ag 2.96
Zr 0.8547 0.7500 0.7093  6 Zn 2.79-2.83, 4 Ag 2.96
Zr 0.9435 0.2500 0.8869  8 Zn 3.03-3.04, 4 Ag 3.26
Zr 0.0565 0.7500 0.1131  8 Zn 3.03-3.04, 4 Ag 3.26
Zn 0.2434 0.7500 0.4867  6 Ag 2.62-2.85, 2 Zr 2.79
Zn 0.7566 0.2500 0.5133  6 Ag 2.62-2.85, 2 Zr 2.79
Zn 0.5514 0.4189 0.1029  2 Zn 2.39-2.57
Zn 0.4486 0.5811 0.8971  2 Zn 2.39-2.57
Zn 0.4486 0.9189 0.8971  2 Zn 2.39-2.57
Zn 0.5514 0.0811 0.1029  2 Zn 2.39-2.57
Ag 0.6754 0.9415 0.3509  4 Zn 2.62-2.85, 1 Ag 2.91
Ag 0.3246 0.0585 0.6491  4 Zn 2.62-2.85, 1 Ag 2.91
Ag 0.3246 0.4415 0.6491  4 Zn 2.62-2.85, 1 Ag 2.91
Ag 0.6754 0.5585 0.3509  4 Zn 2.62-2.85, 1 Ag 2.91

## Properties
* N(E_F): 0.754 states/eV per atom
* magnetic moment: 0.0 μB per formula unit
* energy: -3.88 eV/atom
* energy relative to the elements: -0.079 eV/atom

A relaxed Ca2FeSb crystal. Source: Alexandria, functional PBE.

Cell lengths 4.1338, 3.4298, 8.0013 Å; angles 64.63, 90.00, 90.00 degrees
Closest atoms and distances in Å follow each position.
Positions (direct):
Sb 0.5000 0.7500 0.7500  8 Ca 3.27, 2 Sb 3.43, 2 Fe 3.61
Ca 0.0000 0.9932 0.0073  4 Fe 3.21, 4 Sb 3.27, 3 Ca 3.43-3.51
Ca 0.0000 0.5068 0.4927  4 Fe 3.21, 4 Sb 3.27, 3 Ca 3.43-3.51
Fe 0.5000 0.2500 0.2500  8 Ca 3.21, 2 Fe 3.43

## Properties
* N(E_F): 1.275 states/eV per atom
* formation energy (no corrections): -83 meV/atom
* magnetic moment: 2.6 μB per formula unit
* energy: -4.23 eV/atom

A relaxed LaMoRu crystal. Source: Alexandria, functional PBE.

Cell lengths 4.5169, 4.5169, 4.5169 Å; angles 60.00, 60.00, 60.00 degrees
Closest atoms and distances in Å follow each position.
Positions (direct):
La 0.5000 0.5000 0.5000  4 Mo 2.77
Mo 0.2500 0.2500 0.2500  4 Ru 2.77, 4 La 2.77
Ru 0.0000 0.0000 0.0000  4 Mo 2.77

## Properties
* N(E_F): 1.456 states/eV per atom
* magnetic moment: 0.0 μB per formula unit
* energy: -7.74 eV/atom
* energy relative to the elements: 0.607 eV/atom